Here is a relaxed structure of RbTl2Mo2O7 from the Alexandria database. Energies are from PBE with a Hubbard U.

The structure in POSCAR format:
```
RbTl2Mo2O7
1.0
3.152 1.820 8.487
-3.152 1.820 8.487
0.000 -3.639 8.487
Rb Tl Mo O
1 2 2 7
Direct
0.000 0.000 0.000
0.210 0.210 0.210
0.790 0.790 0.790
0.425 0.425 0.425
0.575 0.575 0.575
0.115 0.438 0.657
0.343 0.562 0.885
0.438 0.657 0.115
0.500 0.500 0.500
0.562 0.885 0.343
0.657 0.115 0.438
0.885 0.343 0.562
```

- symmetry = No. 155
- total moment (Bohr magnetons per cell) = 1.0
- energy (eV per cell) = -71.4